# K2OsW

A relaxed structure of K2OsW (PBE, the Alexandria database).

VASP energy = -0.420 Ry per atom
space group = C2/m
crystal system = monoclinic
formation energy from the elements = 339.9 kJ/mol of formula units
excess energy over the best structure of this formula in the dataset = 66 meV per atom

Lattice parameters (Å, degrees): 10.6236 10.6236 4.0498 79.69 79.69 16.85
Closest atoms and distances in Å follow each position.
Positions (direct):
Os1 0.7500 0.7500 0.7500  4 W 2.55
K1 0.1042 0.1042 0.8854  2 K 3.11, 2 Os 3.39
K2 0.3958 0.3958 0.6146  2 K 3.11, 2 Os 3.39
W1 0.2500 0.2500 0.2500  4 Os 2.55

---

# Na5Cl2O2

A relaxed structure of Na5Cl2O2 (PBE, the Alexandria database).

VASP energy = -0.263 Ry per atom
space group = C2/m
crystal system = monoclinic
energy relative to the elements, uncorrected = -12.055 eV per formula unit

Lattice parameters (Å, degrees): 4.5625 6.7888 7.2781 122.76 90.00 109.64
Closest atoms and distances in Å follow each position.
Positions (direct):
O1 0.1161 0.2321 0.8224  6 Na 2.31-2.53
O2 0.8839 0.7679 0.1776  6 Na 2.31-2.53
Na1 0.0000 0.0000 0.0000  2 O 2.47
Na2 0.3479 0.6958 0.0793  3 O 2.36-2.43
Na3 0.8834 0.7667 0.4944  2 O 2.31-2.53
Na4 0.1166 0.2333 0.5056  2 O 2.31-2.53
Na5 0.6521 0.3042 0.9207  3 O 2.36-2.43
Cl1 0.3763 0.7527 0.7079  7 Na 2.75-2.93
Cl2 0.6237 0.2473 0.2921  7 Na 2.75-2.93

---

# LuPuSc2

A relaxed structure of LuPuSc2 (PBE, the Alexandria database).

VASP energy = -0.572 Ry per atom
space group = P4/mmm
crystal system = tetragonal
formation energy from the elements = 38.1 kJ/mol of formula units
excess energy over the best structure of this formula in the dataset = 0 meV per atom

Lattice parameters (Å, degrees): 3.3427 3.3427 9.2918 90.00 90.00 90.00
Closest atoms and distances in Å follow each position.
Positions (direct):
Sc1 0.0000 0.0000 0.7418  4 Pu 3.26, 4 Sc 3.34, 4 Lu 3.37
Sc2 0.0000 0.0000 0.2582  4 Pu 3.26, 4 Sc 3.34, 4 Lu 3.37
Lu1 0.5000 0.5000 0.0000  4 Lu 3.34, 8 Sc 3.37
Pu1 0.5000 0.5000 0.5000  8 Sc 3.26, 4 Pu 3.34

---

# Ac3Al2Cd6Ag

A relaxed structure of Ac3Al2Cd6Ag (PBE, the Alexandria database).

VASP energy = -0.176 Ry per atom
space group = P-3m1
crystal system = trigonal
formation energy from the elements = -50.2 kJ/mol of formula units

Lattice parameters (Å, degrees): 6.8326 6.8326 8.6979 90.00 90.00 120.00
Closest atoms and distances in Å follow each position.
Positions (direct):
Ac1 0.0000 0.0000 0.0000  6 Cd 3.52
Ac2 0.3333 0.6667 0.6836  1 Al 3.31, 9 Cd 3.42-3.65
Ac3 0.6667 0.3333 0.3164  1 Al 3.31, 9 Cd 3.42-3.65
Cd1 0.6294 0.8147 0.3158  1 Ag 2.72, 1 Al 2.81, 2 Cd 3.03
Cd2 0.1853 0.8147 0.3158  1 Ag 2.72, 1 Al 2.81, 2 Cd 3.03
Cd3 0.8147 0.6294 0.6842  1 Ag 2.72, 1 Al 2.81, 2 Cd 3.03
Cd4 0.8147 0.1853 0.6842  1 Ag 2.72, 1 Al 2.81, 2 Cd 3.03
Cd5 0.1853 0.3706 0.3158  1 Ag 2.72, 1 Al 2.81, 2 Cd 3.03
Cd6 0.3706 0.1853 0.6842  1 Ag 2.72, 1 Al 2.81, 2 Cd 3.03
Al1 0.6667 0.3333 0.9361  3 Cd 2.81
Al2 0.3333 0.6667 0.0639  3 Cd 2.81
Ag1 0.0000 0.0000 0.5000  6 Cd 2.72